# TbTmPuAl

A geometry-optimized TbTmPuAl structure (PBE-GGA, the Alexandria database).

Values from the calculation:
The density is 9.5 g/cm³. The calculation puts the total energy at -6.782 eV per atom. Its energy relative to the elements is 0.27 kcal/mol of atoms. For the spin magnetization, the calculation gives 1.582 μB per atom. The value obtained for the density of states at the Fermi level is 30.85 states/eV/cell.

Unit cell a=7.4718 b=7.4718 c=7.4718 alpha=90.00 beta=90.00 gamma=90.00
Space group F-43m (No. 216)
One atom of each set of equivalent atoms:
Tb  0.0000  0.0000  0.0000 (multiplicity 4)
Tm  0.2500  0.2500  0.2500 (multiplicity 4)
Pu  0.0000  0.0000  0.5000 (multiplicity 4)
Al  0.2500  0.2500  0.7500 (multiplicity 4)

# Pm5Er4In

A geometry-optimized Pm5Er4In structure (PBE-GGA, the Alexandria database).

Values from the calculation:
The density is 7.9 g/cm³. The distance to the lowest polymorph of the same formula comes out at 0.0 meV/atom. The calculation puts the total energy at -4.482 eV per atom. Its energy relative to the elements is -0.18 kcal/mol of atoms. For the spin magnetization, the calculation gives 0.000 μB per atom. The value obtained for the density of states at the Fermi level is 17.33 states/eV/cell.

Unit cell a=4.1405 b=4.1405 c=18.5155 alpha=90.00 beta=90.00 gamma=90.00
Space group P4/mmm (No. 123)
One atom of each set of equivalent atoms:
Pm  0.0000  0.0000  0.0000 (multiplicity 1)
Pm  0.0000  0.0000  0.2045 (multiplicity 2)
Pm  0.0000  0.0000  0.4094 (multiplicity 2)
Er  0.5000  0.5000  0.1026 (multiplicity 2)
Er  0.5000  0.5000  0.3049 (multiplicity 2)
In  0.5000  0.5000  0.5000 (multiplicity 1)

Number 2 is which compound?
Pm5Er4In